# 1
## Lu2ThFe (PBE)

Data for a geometry-optimized Lu2ThFe structure.

The structure in POSCAR format:
```
Lu2ThFe
1.0
3.326 0.000 0.000
0.000 3.326 0.000
0.000 0.000 8.699
Lu Th Fe
2 1 1
direct
0.000 0.000 0.179
0.000 0.000 0.821
0.500 0.500 0.500
0.500 0.500 0.000
```

## Properties
Total moment = 0.00 μB per formula unit
Total DFT energy (no corrections) = -6.189 eV per atom
Energy relative to the elements = 0.042 eV per atom

# 2
## Lu3ThFe (PBE)

Data for a geometry-optimized Lu3ThFe structure.

The structure in POSCAR format:
```
Lu3ThFe
1.0
5.148 0.000 0.000
0.000 5.148 0.000
0.000 0.000 5.148
Lu Th Fe
3 1 1
direct
0.000 0.000 0.500
0.000 0.500 0.000
0.500 0.000 0.000
0.500 0.500 0.500
0.000 0.000 0.000
```

## Properties
Total moment = 0.00 μB per formula unit
Total DFT energy (no corrections) = -5.742 eV per atom
Energy relative to the elements = 0.147 eV per atom

# 3
## LuThZnFe (PBE)

Data for a geometry-optimized LuThZnFe structure.

The structure in POSCAR format:
```
LuThZnFe
1.0
0.000 3.485 3.485
3.485 0.000 3.485
3.485 3.485 0.000
Lu Th Zn Fe
1 1 1 1
direct
0.000 0.000 0.000
0.500 0.500 0.500
0.250 0.250 0.250
0.750 0.750 0.750
```

## Properties
Total moment = 0.55 μB per formula unit
Total DFT energy (no corrections) = -5.483 eV per atom
Energy relative to the elements = -0.064 eV per atom

# 4
## LuTiFe2 (PBE)

Data for a geometry-optimized LuTiFe2 structure.

The structure in POSCAR format:
```
LuTiFe2
1.0
0.000 3.094 3.094
3.094 0.000 3.094
3.094 3.094 0.000
Lu Ti Fe
1 1 2
direct
0.000 0.000 0.000
0.500 0.500 0.500
0.250 0.250 0.250
0.750 0.750 0.750
```

## Properties
Total moment = 0.30 μB per formula unit
Total DFT energy (no corrections) = -7.405 eV per atom
Energy relative to the elements = -0.070 eV per atom
Energy above the most stable polymorph in this dataset = 0.053 eV/atom

# 5
## LuTiFe2 (PBE)

Data for a geometry-optimized LuTiFe2 structure.

The structure in POSCAR format:
```
LuTiFe2
1.0
3.085 0.000 0.000
0.000 3.085 0.000
0.000 0.000 6.293
Lu Ti Fe
1 1 2
direct
0.000 0.000 0.000
0.000 0.000 0.500
0.500 0.500 0.284
0.500 0.500 0.716
```

## Properties
Total moment = 0.50 μB per formula unit
Total DFT energy (no corrections) = -7.458 eV per atom
Energy relative to the elements = -0.123 eV per atom
Energy above the most stable polymorph in this dataset = 0.000 eV/atom

# 6
## LuTiFe4 (PBE)

Data for a geometry-optimized LuTiFe4 structure.

The structure in POSCAR format:
```
LuTiFe4
1.0
0.000 3.489 3.489
3.489 0.000 3.489
3.489 3.489 0.000
Lu Ti Fe
1 1 4
direct
0.000 0.000 0.000
0.750 0.750 0.750
0.375 0.375 0.375
0.375 0.375 0.874
0.375 0.874 0.375
0.874 0.375 0.375
```

## Properties
Total moment = 6.28 μB per formula unit
Total DFT energy (no corrections) = -7.939 eV per atom
Energy relative to the elements = -0.228 eV per atom

# 7
## LuTiFe (PBE)

Data for a geometry-optimized LuTiFe structure.

The structure in POSCAR format:
```
LuTiFe
1.0
-1.588 1.588 5.371
1.588 -1.588 5.371
1.588 1.588 -5.371
Lu Ti Fe
1 1 1
direct
0.000 0.000 0.000
0.278 0.278 0.000
0.676 0.676 0.000
```

## Properties
Total moment = 0.96 μB per formula unit
Total DFT energy (no corrections) = -6.994 eV per atom
Energy relative to the elements = -0.035 eV per atom

# 8
## Lu3TlFe (PBE)

Data for a geometry-optimized Lu3TlFe structure.

The structure in POSCAR format:
```
Lu3TlFe
1.0
5.058 0.000 0.000
0.000 5.058 0.000
0.000 0.000 5.058
Lu Tl Fe
3 1 1
direct
0.000 0.000 0.500
0.000 0.500 0.000
0.500 0.000 0.000
0.500 0.500 0.500
0.000 0.000 0.000
```

## Properties
Total moment = 0.00 μB per formula unit
Total DFT energy (no corrections) = -4.881 eV per atom
Energy relative to the elements = -0.003 eV per atom

# 9
## LuTlFe4 (PBE)

Data for a geometry-optimized LuTlFe4 structure.

The structure in POSCAR format:
```
LuTlFe4
1.0
0.000 3.565 3.565
3.565 0.000 3.565
3.565 3.565 0.000
Lu Tl Fe
1 1 4
direct
0.000 0.000 0.000
0.750 0.750 0.750
0.375 0.375 0.375
0.375 0.375 0.875
0.375 0.875 0.375
0.875 0.375 0.375
```

## Properties
Total moment = 7.93 μB per formula unit
Total DFT energy (no corrections) = -6.766 eV per atom
Energy relative to the elements = 0.023 eV per atom

# 10
## TmLu3Fe (PBE)

Data for a geometry-optimized TmLu3Fe structure.

The structure in POSCAR format:
```
TmLu3Fe
1.0
5.136 0.000 0.000
0.000 5.136 0.000
0.000 0.000 5.136
Tm Lu Fe
1 3 1
direct
0.000 0.000 0.000
0.000 0.500 0.500
0.500 0.000 0.500
0.500 0.500 0.000
0.500 0.500 0.500
```

## Properties
Total moment = 0.00 μB per formula unit
Total DFT energy (no corrections) = -5.219 eV per atom
Energy relative to the elements = 0.081 eV per atom

# 11
## TmLuFe (PBE)

Data for a geometry-optimized TmLuFe structure.

The structure in POSCAR format:
```
TmLuFe
1.0
-1.635 1.635 6.211
1.635 -1.635 6.211
1.635 1.635 -6.211
Tm Lu Fe
1 1 1
direct
0.000 0.000 0.000
0.254 0.254 0.000
0.628 0.628 0.000
```

## Properties
Total moment = 0.00 μB per formula unit
Total DFT energy (no corrections) = -5.844 eV per atom
Energy relative to the elements = -0.026 eV per atom

# 12
## LuUFe4 (PBE)

Data for a geometry-optimized LuUFe4 structure.

The structure in POSCAR format:
```
LuUFe4
1.0
0.000 3.561 3.561
3.561 0.000 3.561
3.561 3.561 0.000
Lu U Fe
1 1 4
direct
0.000 0.000 0.000
0.250 0.250 0.250
0.124 0.625 0.625
0.625 0.124 0.625
0.625 0.625 0.124
0.625 0.625 0.625
```

## Properties
Total moment = 4.57 μB per formula unit
Total DFT energy (no corrections) = -8.340 eV per atom
Energy relative to the elements = -0.063 eV per atom

Copy entry 3 word for word.
## LuThZnFe (PBE)

Data for a geometry-optimized LuThZnFe structure.

The structure in POSCAR format:
```
LuThZnFe
1.0
0.000 3.485 3.485
3.485 0.000 3.485
3.485 3.485 0.000
Lu Th Zn Fe
1 1 1 1
direct
0.000 0.000 0.000
0.500 0.500 0.500
0.250 0.250 0.250
0.750 0.750 0.750
```

## Properties
Total moment = 0.55 μB per formula unit
Total DFT energy (no corrections) = -5.483 eV per atom
Energy relative to the elements = -0.064 eV per atom

What did the tenth record say?
## TmLu3Fe (PBE)

Data for a geometry-optimized TmLu3Fe structure.

The structure in POSCAR format:
```
TmLu3Fe
1.0
5.136 0.000 0.000
0.000 5.136 0.000
0.000 0.000 5.136
Tm Lu Fe
1 3 1
direct
0.000 0.000 0.000
0.000 0.500 0.500
0.500 0.000 0.500
0.500 0.500 0.000
0.500 0.500 0.500
```

## Properties
Total moment = 0.00 μB per formula unit
Total DFT energy (no corrections) = -5.219 eV per atom
Energy relative to the elements = 0.081 eV per atom